Entry from the Alexandria database: an optimized crystal structure of SrCa2Sc (GGA-PBE).

Lattice parameters (Å, degrees): 4.0200 4.0200 9.5938 90.00 90.00 90.00
Closest atoms and distances in Å follow each position.
Fractional positions:
Sc: 0.0000 0.0000 0.4795  4 Ca 3.42, 4 Sr 3.65
Sr: 0.5000 0.5000 0.7188  4 Sc 3.65, 4 Sr 4.02, 4 Ca 4.06
Ca: 0.0000 0.0000 0.0205  8 Ca 3.79-4.02, 4 Sr 4.06
Ca: 0.5000 0.5000 0.2812  4 Sc 3.42, 4 Ca 3.79

- Relative energy among the computed polymorphs: 0.093 eV per formula unit
- ΔE_f: 71 kJ/mol of formula units
- Size of the total moment: 0.00 Bohr magnetons per cell
- Volume: 155.0 Å³ per cell


Entry from the Alexandria database: an optimized crystal structure of Sr2CaSc (GGA-PBE).

Lattice parameters (Å, degrees): 4.0950 4.0950 9.9067 90.00 90.00 90.00
Closest atoms and distances in Å follow each position.
Fractional positions:
Sc: 0.5000 0.5000 0.7311  4 Ca 3.44, 4 Sr 3.66
Sr: 0.0000 0.0000 0.9564  4 Sc 3.66, 1 Ca 4.09
Sr: 0.5000 0.5000 0.2684  4 Ca 3.98, 8 Sr 4.10-4.24
Ca: 0.0000 0.0000 0.5441  4 Sc 3.44

- Relative energy among the computed polymorphs: 0.000 eV per formula unit
- ΔE_f: 71 kJ/mol of formula units
- Size of the total moment: 0.00 Bohr magnetons per cell
- Volume: 166.1 Å³ per cell


Entry from the Alexandria database: an optimized crystal structure of SrCa2Sc (GGA-PBE).

Lattice parameters (Å, degrees): 7.2150 7.2150 7.2150 147.57 129.46 61.34
Closest atoms and distances in Å follow each position.
Fractional positions:
Sc: 0.7500 0.2500 0.5000  4 Ca 3.48, 4 Sr 3.68
Sr: 0.2500 0.7500 0.5000  4 Sc 3.68, 4 Ca 3.92, 2 Sr 4.03
Ca: 0.9790 0.9790 0.0000  2 Sc 3.48, 4 Ca 3.72
Ca: 0.5210 0.5210 0.0000  2 Sc 3.48, 4 Ca 3.72

- Relative energy among the computed polymorphs: 0.181 eV per formula unit
- ΔE_f: 80 kJ/mol of formula units
- Size of the total moment: 0.47 Bohr magnetons per cell
- Volume: 154.0 Å³ per cell


Entry from the Alexandria database: an optimized crystal structure of SrCa2Sc (GGA-PBE).

Lattice parameters (Å, degrees): 3.9801 3.9801 9.8056 90.00 90.00 89.96
Closest atoms and distances in Å follow each position.
Fractional positions:
Sc: 0.5000 0.5000 0.2500  8 Ca 3.46
Sr: 0.5000 0.5000 0.7500  4 Sr 3.98, 8 Ca 4.03
Ca: 0.0000 0.0000 0.0442  4 Sc 3.46
Ca: 0.0000 0.0000 0.4558  4 Sc 3.46

- Relative energy among the computed polymorphs: 0.000 eV per formula unit
- ΔE_f: 62 kJ/mol of formula units
- Size of the total moment: 0.00 Bohr magnetons per cell
- Volume: 155.3 Å³ per cell


Entry from the Alexandria database: an optimized crystal structure of SrCa2Sc (GGA-PBE).

Lattice parameters (Å, degrees): 5.9691 5.9691 4.2840 90.00 90.00 90.00
Closest atoms and distances in Å follow each position.
Fractional positions:
Sc: 0.5000 0.0000 0.5000  8 Ca 3.67
Sr: 0.0000 0.5000 0.5000  8 Ca 3.67
Ca: 0.0000 0.0000 0.0000  4 Sc 3.67, 4 Sr 3.67
Ca: 0.5000 0.5000 0.0000  4 Sc 3.67, 4 Sr 3.67

- Relative energy among the computed polymorphs: 0.329 eV per formula unit
- ΔE_f: 94 kJ/mol of formula units
- Size of the total moment: 0.65 Bohr magnetons per cell
- Volume: 152.6 Å³ per cell


Entry from the Alexandria database: an optimized crystal structure of SrCa2Sc (GGA-PBE).

Lattice parameters (Å, degrees): 7.0695 7.0695 3.6509 80.00 80.00 117.66
Closest atoms and distances in Å follow each position.
Fractional positions:
Sc: 0.5000 0.0000 0.5000  2 Sc 3.65, 2 Sr 3.66, 4 Ca 3.69
Sr: 0.0000 0.5000 0.5000  2 Sr 3.65, 2 Sc 3.66, 4 Ca 3.69
Ca: 0.0000 0.0000 0.0000  4 Ca 3.65-3.66, 2 Sc 3.69, 2 Sr 3.69
Ca: 0.5000 0.5000 0.0000  4 Ca 3.65-3.66, 2 Sr 3.69, 2 Sc 3.69

- Relative energy among the computed polymorphs: 0.316 eV per formula unit
- ΔE_f: 93 kJ/mol of formula units
- Size of the total moment: 0.55 Bohr magnetons per cell
- Volume: 152.3 Å³ per cell


Which of these has the lowest ΔE_f? number 4


size of the total moment of number 4 (SrCa2Sc)? 0.00 Bohr magnetons per cell